TiSnW2O after structural relaxation. Source: Alexandria via LeMat-Bulk, functional PBE with a Hubbard U.

DOS(E_F): 1.1080 states/eV/atom
volume: 117 Å³ per cell
uncorrected energy: -4.7351 eV/atom

Cell lengths 5.449, 3.928, 5.449 Å; angles 90.00, 90.00, 90.00 degrees
Element x y z (fractional)
W 0.500 0.000 0.000
W 0.000 0.000 0.500
O 0.000 0.500 0.000
Ti 0.500 0.500 0.500
Sn 0.000 0.000 0.000